[1]
VASP calculation (PBE) on a relaxed structure of InTeC.

Values from the calculation:
- N(E_F): 0.7 states/eV/cell
- Space-group type: Pm, No. 6

Unit cell a=5.629 b=3.708 c=6.886 alpha=90.00 beta=101.01 gamma=90.00
Positions (direct):
In (0.129, 0.000, 0.774)
In (0.189, 0.000, 0.205)
Te (0.598, 0.500, 0.534)
Te (0.766, 0.500, 0.065)
C (0.365, 0.000, 0.541)
C (0.885, 0.500, 0.783)



[2]
VASP calculation (PBE) on a relaxed structure of In2TeC.

Values from the calculation:
- N(E_F): 2.8 states/eV/cell
- Space-group type: Fm-3m, No. 225

Unit cell a=5.029 b=5.029 c=5.029 alpha=60.00 beta=60.00 gamma=60.00
Positions (direct):
C (0.000, 0.000, 0.000)
Te (0.500, 0.500, 0.500)
In (0.250, 0.250, 0.250)
In (0.750, 0.750, 0.750)



[3]
VASP calculation (PBE) on a relaxed structure of In4TeC2.

Values from the calculation:
- N(E_F): 4.6 states/eV/cell
- Space-group type: I4/mmm, No. 139

Unit cell a=5.842 b=5.842 c=8.132 alpha=68.95 beta=68.95 gamma=90.00
Positions (direct):
In (0.717, 0.717, 0.566)
In (0.000, 0.500, 0.000)
In (0.283, 0.283, 0.434)
In (0.500, 0.000, 0.000)
C (0.455, 0.455, 0.091)
C (0.545, 0.545, 0.909)
Te (0.000, 0.000, 0.000)



[4]
VASP calculation (PBE) on a relaxed structure of In2Te2C.

Values from the calculation:
- N(E_F): 5.8 states/eV/cell
- Space-group type: P4/mbm, No. 127

Unit cell a=6.581 b=6.581 c=6.149 alpha=90.00 beta=90.00 gamma=90.00
Positions (direct):
Te (0.283, 0.783, 0.000)
Te (0.783, 0.717, 0.000)
Te (0.217, 0.283, 0.000)
Te (0.717, 0.217, 0.000)
In (0.182, 0.682, 0.500)
In (0.682, 0.818, 0.500)
In (0.818, 0.318, 0.500)
In (0.318, 0.182, 0.500)
C (0.500, 0.500, 0.000)
C (0.000, 0.000, 0.000)



[5]
VASP calculation (PBE) on a relaxed structure of InTeC.

Values from the calculation:
- Space-group type: Pm, No. 6

Unit cell a=6.484 b=4.490 c=6.721 alpha=90.00 beta=103.61 gamma=90.00
Positions (direct):
C (0.454, 0.500, 0.286)
C (0.543, 0.500, 0.142)
Te (0.285, 0.500, 0.507)
Te (0.906, 0.000, 0.832)
In (0.869, 0.000, 0.335)
In (0.643, 0.500, 0.854)



[6]
VASP calculation (PBE) on a relaxed structure of InTeC.

Values from the calculation:
- N(E_F): 1.4 states/eV/cell
- Space-group type: P1, No. 1

Unit cell a=4.257 b=5.738 c=7.110 alpha=92.32 beta=89.96 gamma=111.15
Positions (direct):
C (0.145, 0.375, 0.650)
C (0.838, 0.374, 0.651)
In (0.340, 0.069, 0.717)
In (0.620, 0.616, 0.127)
Te (0.309, 0.013, 0.119)
Te (0.639, 0.674, 0.579)



The following E_tot values (in eV/atom) correspond, in order, to the records above: -4.154, -3.098, -3.887, -3.281, -4.579, -4.530.
The following ΔE_f (raw) values (in eV/atom) correspond, in order, to the records above: 0.88, 1.36, 0.76, 0.92, 0.46, 0.50.